CaBe2Au (PBE-GGA, relaxed); E_form = 0.309 eV/atom; raw total energy = -2.87 eV/atom
1.0
-2.808 -1.072 2.784
-1.120 -3.158 -2.346
2.760 -2.369 1.872
Be Ca Au
2 1 1
Direct
0.000 0.000 0.000 Be
0.000 0.500 0.500 Be
0.500 0.500 0.000 Ca
0.500 0.000 0.500 Au